# Er3Ga4Hg2 (PBE-GGA, optimized geometry)
data_Er3Ga4Hg2
_cell_length_a 10.738
_cell_length_b 4.546
_cell_length_c 8.614
_cell_angle_alpha 90.00
_cell_angle_beta 113.61
_cell_angle_gamma 90.00
_space_group_name_H-M_alt 'C 1 2/m 1'
_space_group_IT_number 12
loop_
_space_group_symop_operation_xyz
'x,y,z'
'-x,-y,-z'
'-x,y,-z'
'x,-y,z'
'x+1/2,y+1/2,z'
'-x+1/2,-y+1/2,-z'
'-x+1/2,y+1/2,-z'
'x+1/2,-y+1/2,z'
loop_
_atom_site_label
_atom_site_fract_x
_atom_site_fract_y
_atom_site_fract_z
Er1 0.000 0.000 0.000
Er2 0.162 0.500 0.670
Ga1 0.048 0.000 0.385
Ga2 0.241 0.500 0.065
Hg1 0.122 0.500 0.284
# E_form = -0.5055 eV per atom

# CaDy2Tm (PBE-GGA, optimized geometry)
data_CaDy2Tm
_cell_length_a 3.5713
_cell_length_b 3.5713
_cell_length_c 35.9237
_cell_angle_alpha 90.00
_cell_angle_beta 90.00
_cell_angle_gamma 120.00
_space_group_name_H-M_alt 'R 3 m'
_space_group_IT_number 160
_space_group_name_Hall 'R 3 -2"'
loop_
_atom_site_label
_atom_site_fract_x
_atom_site_fract_y
_atom_site_fract_z
Ca1 0.0000 0.0000 0.0000
Dy1 0.0000 0.0000 0.2449
Dy2 0.0000 0.0000 0.4228
Tm1 0.0000 0.0000 0.8340
# energy above the most stable polymorph in this dataset = 0.0 meV/atom
# E_form = 0.0649 eV per atom

# BaPb2F (PBE-GGA, optimized geometry)
data_BaPb2F
_cell_length_a 6.135
_cell_length_b 6.135
_cell_length_c 16.245
_cell_angle_alpha 90.00
_cell_angle_beta 90.00
_cell_angle_gamma 90.00
_space_group_name_H-M_alt 'I -4 2 d'
_space_group_IT_number 122
_space_group_name_Hall 'I -4 2bw'
loop_
_atom_site_label
_atom_site_fract_x
_atom_site_fract_y
_atom_site_fract_z
Ba1 0.000 0.000 0.000
Pb1 0.001 0.750 0.625
F1 0.000 0.000 0.500
# energy above the most stable polymorph in this dataset = 0.0 meV/atom
# formation energy from raw total energies = -0.813 eV/atom